(1)
Crystalline Ho6Si2AsSe3 at its relaxed geometry, computed with PBE-GGA.

The structure in CIF format:
```
data_Ho6Si2AsSe3
_chemical_formula_sum 'Ho12 Si4 As2 Se6'
_cell_length_a 17.873
_cell_length_b 4.089
_cell_length_c 8.218
_cell_angle_alpha 90.00
_cell_angle_beta 103.48
_cell_angle_gamma 90.00
_space_group_name_H-M_alt 'C 1 2/m 1'
_space_group_IT_number 12
_space_group_name_Hall '-C 2y'
loop_
_atom_site_label
_atom_site_type_symbol
_atom_site_fract_x
_atom_site_fract_y
_atom_site_fract_z
Ho1 Ho 0.005 0.000 0.246
Ho2 Ho 0.165 0.500 0.095
Ho3 Ho 0.170 0.500 0.575
Si1 Si 0.167 0.000 0.333
As1 As 0.000 0.500 0.000
Se1 Se 0.000 0.500 0.500
Se2 Se 0.165 0.000 0.834
```



(2)
# PBE-GGA CdGeRu, optimized geometry
data_CdGeRu
_chemical_formula_sum 'Cd2 Ge2 Ru2'
_cell_length_a 4.373
_cell_length_b 5.573
_cell_length_c 5.649
_cell_angle_alpha 60.55
_cell_angle_beta 67.25
_cell_angle_gamma 67.00
_space_group_name_H-M_alt 'P -1'
_space_group_IT_number 2
_space_group_name_Hall '-P 1'
loop_
_atom_site_label
_atom_site_type_symbol
_atom_site_fract_x
_atom_site_fract_y
_atom_site_fract_z
Cd1 Cd 0.171 0.458 0.200
Ge1 Ge 0.427 0.787 0.359
Ru1 Ru 0.141 0.988 0.729
# Formation enthalpy at 0 K in meV/atom: 67



Number 1: raw total energy -5.898 eV per atom. Number 2: raw total energy -4.870 eV per atom.